No. 1
A plane-wave DFT calculation with PBEsol was carried out for a relaxed structure of LiCdPb2.

Calculated values
- Size of the total moment: 0.0 Bohr magnetons per cell
- ΔE_f: -102 meV/atom
- Space group: Cm, No. 8
- Density of states at the Fermi level: 1.5 states/eV/cell

abc: 3.3320 5.5034 5.8091
angles: 107.08 106.67 90.00
Positions (direct):
Pb 0.2415 0.7069 0.4830
Pb 0.0169 0.0576 0.0338
Cd 0.4777 0.5213 0.9555
Li 0.7639 0.2141 0.5277

***

No. 2
A plane-wave DFT calculation with PBEsol was carried out for a relaxed structure of ScTlZn2.

Calculated values
- Polymorph energy (0 for the lowest one): 0.14 eV/f.u.
- Size of the total moment: 0.0 Bohr magnetons per cell
- ΔE_f: -99 meV/atom
- Space group: Imm2, No. 44
- Density of states at the Fermi level: 2.7 states/eV/cell

abc: 3.8130 4.3430 5.3902
angles: 113.76 110.71 90.00
Positions (direct):
Zn 0.0224 0.0224 0.0449
Zn 0.7306 0.2306 0.4612
Sc 0.4893 0.4893 0.9787
Tl 0.2576 0.7576 0.5152